[1]
# Zn2CdOs | Alexandria | PBE | relaxed
data_Zn2CdOs
_symmetry_space_group_name_H-M 'P 4 m m'
_symmetry_Int_Tables_number 99
_cell_length_a 3.156
_cell_length_b 3.156
_cell_length_c 6.477
_cell_angle_alpha 90.00
_cell_angle_beta 90.00
_cell_angle_gamma 90.00
loop_
_symmetry_equiv_pos_as_xyz
'x,y,z'
'-y,x,z'
'-x,-y,z'
'y,-x,z'
'-x,y,z'
'y,x,z'
'x,-y,z'
'-y,-x,z'
loop_
_atom_site_label
_atom_site_fract_x
_atom_site_fract_y
_atom_site_fract_z
Zn1 0.000 0.000 0.000
Zn2 0.500 0.500 0.227
Cd1 0.000 0.000 0.518
Os1 0.500 0.500 0.804
# ΔE_f (kJ per mole of atoms): 35
# Fermi-level density of states (states/eV/f.u.): 3.42

***

[2]
# ZnCdOs | Alexandria | PBE | relaxed
data_ZnCdOs
_symmetry_space_group_name_H-M 'I 4 m m'
_symmetry_Int_Tables_number 107
_symmetry_space_group_name_Hall 'I 4 -2'
_cell_length_a 2.817
_cell_length_b 2.817
_cell_length_c 12.526
_cell_angle_alpha 90.00
_cell_angle_beta 90.00
_cell_angle_gamma 90.00
loop_
_atom_site_label
_atom_site_fract_x
_atom_site_fract_y
_atom_site_fract_z
Zn1 0.000 0.000 0.000
Cd1 0.000 0.000 0.315
Os1 0.000 0.000 0.642
# ΔE_f (kJ per mole of atoms): 46
# Fermi-level density of states (states/eV/f.u.): 2.91
# ΔE to the lowest computed polymorph (meV per atom): 373

***

[3]
# ZnCdOs2 | Alexandria | PBE | relaxed
data_ZnCdOs2
_symmetry_space_group_name_H-M 'C m m 2'
_symmetry_Int_Tables_number 35
_cell_length_a 2.813
_cell_length_b 4.802
_cell_length_c 9.573
_cell_angle_alpha 90.00
_cell_angle_beta 90.00
_cell_angle_gamma 90.00
loop_
_symmetry_equiv_pos_as_xyz
'x,y,z'
'-x,-y,z'
'-x,y,z'
'x,-y,z'
'x+1/2,y+1/2,z'
'-x+1/2,-y+1/2,z'
'-x+1/2,y+1/2,z'
'x+1/2,-y+1/2,z'
loop_
_atom_site_label
_atom_site_fract_x
_atom_site_fract_y
_atom_site_fract_z
Zn1 0.000 0.000 0.000
Cd1 0.000 0.500 0.268
Os1 0.000 0.000 0.537
Os2 0.000 0.500 0.764
# ΔE_f (kJ per mole of atoms): 46
# Fermi-level density of states (states/eV/f.u.): 3.34
# ΔE to the lowest computed polymorph (meV per atom): 310